# 1
KTcAsO PBE-GGA optimized geometry; SG = P4/nmm, No. 129; calculated total energy = -40.50 eV/cell; size of the total moment = 1.121 μB/f.u.; polymorph energy (0 for the lowest one) = 0.850 eV/atom
1.0
4.1694 0.0000 0.0000
0.0000 4.1694 0.0000
0.0000 0.0000 8.5565
K Tc As O
2 2 2 2
direct
0.2500 0.7500 0.0000 K
0.7500 0.2500 0.0000 K
0.2500 0.2500 0.4322 Tc
0.7500 0.7500 0.5678 Tc
0.2500 0.2500 0.7215 As
0.7500 0.7500 0.2785 As
0.2500 0.7500 0.5000 O
0.7500 0.2500 0.5000 O

=====

# 2
NdNi2GeP PBE-GGA optimized geometry; SG = P4/nmm, No. 129; calculated total energy = -60.72 eV/cell; size of the total moment = 0.002 μB/f.u.; polymorph energy (0 for the lowest one) = 0.000 eV/atom
1.0
4.0325 0.0000 0.0000
0.0000 4.0325 0.0000
0.0000 0.0000 9.6878
Nd Ni Ge P
2 4 2 2
direct
0.2500 0.2500 0.2395 Nd
0.7500 0.7500 0.7605 Nd
0.2500 0.2500 0.6389 Ni
0.2500 0.7500 0.0000 Ni
0.7500 0.2500 0.0000 Ni
0.7500 0.7500 0.3611 Ni
0.2500 0.7500 0.5000 Ge
0.7500 0.2500 0.5000 Ge
0.2500 0.2500 0.8739 P
0.7500 0.7500 0.1261 P

=====

# 3
LiInPt2 PBE-GGA optimized geometry; SG = P6_3/mmc, No. 194; calculated total energy = -37.56 eV/cell; size of the total moment = 0.006 μB/f.u.
1.0
4.3685 0.0000 0.0000
-2.1843 3.7833 0.0000
0.0000 0.0000 8.2687
Li In Pt
2 2 4
direct
0.0000 0.0000 0.0000 Li
0.0000 0.0000 0.5000 Li
0.3333 0.6667 0.2500 In
0.6667 0.3333 0.7500 In
0.3333 0.6667 0.5858 Pt
0.3333 0.6667 0.9142 Pt
0.6667 0.3333 0.0858 Pt
0.6667 0.3333 0.4142 Pt

=====

- Which value of calculated total energy does entry 2 give?
  -60.72 eV/cell